[1]
Entry from the Alexandria database: an optimized crystal structure of Er8Sc2Cd (PBE).

Calculated formation energy ... -0.0083 eV per atom
Raw total energy ... -100.34 eV for the cell shown
DOS(E_F) ... 1.37 states/eV per atom

```
data_Er8Sc2Cd
_space_group_name_H-M_alt 'C 1 2/m 1'
_space_group_IT_number 12
_cell_length_a 18.747
_cell_length_b 5.417
_cell_length_c 6.239
_cell_angle_alpha 90.00
_cell_angle_beta 94.57
_cell_angle_gamma 90.00
loop_
_space_group_symop_operation_xyz
'x,y,z'
'-x,-y,-z'
'-x,y,-z'
'x,-y,z'
'x+1/2,y+1/2,z'
'-x+1/2,-y+1/2,-z'
'-x+1/2,y+1/2,-z'
'x+1/2,-y+1/2,z'
loop_
_atom_site_label
_atom_site_type_symbol
_atom_site_fract_x
_atom_site_fract_y
_atom_site_fract_z
Er1 Er 0.046 0.000 0.264
Er2 Er 0.081 0.500 0.595
Er3 Er 0.156 0.000 0.798
Er4 Er 0.164 0.500 0.123
Sc1 Sc 0.242 0.000 0.340
Cd1 Cd 0.000 0.500 0.000
```

=====

[2]
Entry from the Alexandria database: an optimized crystal structure of Er12Sc6Cd (PBE).

Calculated formation energy ... 0.1084 eV per atom
Raw total energy ... -274.80 eV for the cell shown
DOS(E_F) ... 1.84 states/eV per atom

```
data_Er12Sc6Cd
_space_group_name_H-M_alt 'R -3'
_space_group_IT_number 148
_space_group_name_Hall '-R 3'
_cell_length_a 11.3927
_cell_length_b 11.3927
_cell_length_c 14.6120
_cell_angle_alpha 90.00
_cell_angle_beta 90.00
_cell_angle_gamma 120.00
loop_
_atom_site_label
_atom_site_type_symbol
_atom_site_fract_x
_atom_site_fract_y
_atom_site_fract_z
Er1 Er 0.0126 0.1849 0.3167
Er2 Er 0.0480 0.8469 0.9128
Sc1 Sc 0.0294 0.4352 0.1934
Cd1 Cd 0.0000 0.0000 0.5000
```

=====

[3]
Entry from the Alexandria database: an optimized crystal structure of ErScCdSn (PBE).

Calculated formation energy ... -0.4416 eV per atom
Raw total energy ... -70.32 eV for the cell shown
DOS(E_F) ... 0.78 states/eV per atom

```
data_ErScCdSn
_space_group_name_H-M_alt 'F -4 3 m'
_space_group_IT_number 216
_space_group_name_Hall 'F -4 2 3'
_cell_length_a 7.260
_cell_length_b 7.260
_cell_length_c 7.260
_cell_angle_alpha 90.00
_cell_angle_beta 90.00
_cell_angle_gamma 90.00
loop_
_atom_site_label
_atom_site_type_symbol
_atom_site_fract_x
_atom_site_fract_y
_atom_site_fract_z
Er1 Er 0.000 0.000 0.000
Sc1 Sc 0.000 0.000 0.500
Cd1 Cd 0.250 0.250 0.250
Sn1 Sn 0.250 0.250 0.750
```

=====

[4]
Entry from the Alexandria database: an optimized crystal structure of ErScTiCd (PBE).

Calculated formation energy ... 0.0334 eV per atom
Raw total energy ... -78.28 eV for the cell shown
DOS(E_F) ... 1.70 states/eV per atom

```
data_ErScTiCd
_space_group_name_H-M_alt 'F -4 3 m'
_space_group_IT_number 216
_space_group_name_Hall 'F -4 2 3'
_cell_length_a 7.182
_cell_length_b 7.182
_cell_length_c 7.182
_cell_angle_alpha 90.00
_cell_angle_beta 90.00
_cell_angle_gamma 90.00
loop_
_atom_site_label
_atom_site_type_symbol
_atom_site_fract_x
_atom_site_fract_y
_atom_site_fract_z
Er1 Er 0.000 0.000 0.000
Sc1 Sc 0.000 0.000 0.500
Ti1 Ti 0.250 0.250 0.750
Cd1 Cd 0.250 0.250 0.250
```

=====

[5]
Entry from the Alexandria database: an optimized crystal structure of ErSc2Tl2Cd2 (PBE).

Calculated formation energy ... -0.1200 eV per atom
Raw total energy ... -73.89 eV for the cell shown
DOS(E_F) ... 0.72 states/eV per atom

```
data_ErSc2Tl2Cd2
_space_group_name_H-M_alt 'R -3 m'
_space_group_IT_number 166
_space_group_name_Hall '-R 3 2"'
_cell_length_a 4.8837
_cell_length_b 4.8837
_cell_length_c 24.9955
_cell_angle_alpha 90.00
_cell_angle_beta 90.00
_cell_angle_gamma 120.00
loop_
_atom_site_label
_atom_site_type_symbol
_atom_site_fract_x
_atom_site_fract_y
_atom_site_fract_z
Er1 Er 0.0000 0.0000 0.0000
Sc1 Sc 0.0000 0.0000 0.1372
Tl1 Tl 0.0000 0.0000 0.2690
Cd1 Cd 0.0000 0.0000 0.4381
```

=====

[6]
Entry from the Alexandria database: an optimized crystal structure of ErScTlCd (PBE).

Calculated formation energy ... -0.2966 eV per atom
Raw total energy ... -61.45 eV for the cell shown
DOS(E_F) ... 1.05 states/eV per atom

```
data_ErScTlCd
_space_group_name_H-M_alt 'F -4 3 m'
_space_group_IT_number 216
_space_group_name_Hall 'F -4 2 3'
_cell_length_a 7.307
_cell_length_b 7.307
_cell_length_c 7.307
_cell_angle_alpha 90.00
_cell_angle_beta 90.00
_cell_angle_gamma 90.00
loop_
_atom_site_label
_atom_site_type_symbol
_atom_site_fract_x
_atom_site_fract_y
_atom_site_fract_z
Er1 Er 0.000 0.000 0.000
Sc1 Sc 0.000 0.000 0.500
Tl1 Tl 0.250 0.250 0.250
Cd1 Cd 0.250 0.250 0.750
```

=====

[7]
Entry from the Alexandria database: an optimized crystal structure of ErTmScCd (PBE).

Calculated formation energy ... -0.1333 eV per atom
Raw total energy ... -16.81 eV for the cell shown
DOS(E_F) ... 1.32 states/eV per atom
Polymorph energy (0 for the lowest one) ... 0 meV/atom

```
data_ErTmScCd
_space_group_name_H-M_alt 'P 4 m m'
_space_group_IT_number 99
_cell_length_a 3.508
_cell_length_b 3.508
_cell_length_c 8.641
_cell_angle_alpha 90.00
_cell_angle_beta 90.00
_cell_angle_gamma 90.00
loop_
_space_group_symop_operation_xyz
'x,y,z'
'-y,x,z'
'-x,-y,z'
'y,-x,z'
'-x,y,z'
'y,x,z'
'x,-y,z'
'-y,-x,z'
loop_
_atom_site_label
_atom_site_type_symbol
_atom_site_fract_x
_atom_site_fract_y
_atom_site_fract_z
Er1 Er 0.000 0.000 0.000
Tm1 Tm 0.000 0.000 0.516
Sc1 Sc 0.500 0.500 0.259
Cd1 Cd 0.500 0.500 0.757
```

=====

[8]
Entry from the Alexandria database: an optimized crystal structure of ErTmScCd (PBE).

Calculated formation energy ... -0.0339 eV per atom
Raw total energy ... -65.67 eV for the cell shown
DOS(E_F) ... 1.31 states/eV per atom
Polymorph energy (0 for the lowest one) ... 99 meV/atom

```
data_ErTmScCd
_space_group_name_H-M_alt 'F -4 3 m'
_space_group_IT_number 216
_space_group_name_Hall 'F -4 2 3'
_cell_length_a 7.484
_cell_length_b 7.484
_cell_length_c 7.484
_cell_angle_alpha 90.00
_cell_angle_beta 90.00
_cell_angle_gamma 90.00
loop_
_atom_site_label
_atom_site_type_symbol
_atom_site_fract_x
_atom_site_fract_y
_atom_site_fract_z
Er1 Er 0.000 0.000 0.000
Tm1 Tm 0.000 0.000 0.500
Sc1 Sc 0.250 0.250 0.250
Cd1 Cd 0.250 0.250 0.750
```

=====

[9]
Entry from the Alexandria database: an optimized crystal structure of ErZrScCd (PBE).

Calculated formation energy ... 0.0390 eV per atom
Raw total energy ... -80.81 eV for the cell shown
DOS(E_F) ... 1.26 states/eV per atom
Polymorph energy (0 for the lowest one) ... 51 meV/atom

```
data_ErZrScCd
_space_group_name_H-M_alt 'F -4 3 m'
_space_group_IT_number 216
_space_group_name_Hall 'F -4 2 3'
_cell_length_a 7.307
_cell_length_b 7.307
_cell_length_c 7.307
_cell_angle_alpha 90.00
_cell_angle_beta 90.00
_cell_angle_gamma 90.00
loop_
_atom_site_label
_atom_site_type_symbol
_atom_site_fract_x
_atom_site_fract_y
_atom_site_fract_z
Er1 Er 0.000 0.000 0.000
Zr1 Zr 0.250 0.250 0.250
Sc1 Sc 0.000 0.000 0.500
Cd1 Cd 0.250 0.250 0.750
```

=====

[10]
Entry from the Alexandria database: an optimized crystal structure of ErZrScCd (PBE).

Calculated formation energy ... -0.0117 eV per atom
Raw total energy ... -40.81 eV for the cell shown
DOS(E_F) ... 1.30 states/eV per atom
Polymorph energy (0 for the lowest one) ... 0 meV/atom

```
data_ErZrScCd
_space_group_name_H-M_alt 'A m m 2'
_space_group_IT_number 38
_cell_length_a 3.248
_cell_length_b 3.240
_cell_length_c 18.889
_cell_angle_alpha 90.00
_cell_angle_beta 90.00
_cell_angle_gamma 90.00
loop_
_space_group_symop_operation_xyz
'x,y,z'
'-x,-y,z'
'-x,y,z'
'x,-y,z'
'x,y+1/2,z+1/2'
'-x,-y+1/2,z+1/2'
'-x,y+1/2,z+1/2'
'x,-y+1/2,z+1/2'
loop_
_atom_site_label
_atom_site_type_symbol
_atom_site_fract_x
_atom_site_fract_y
_atom_site_fract_z
Er1 Er 0.000 0.000 0.000
Zr1 Zr 0.500 0.000 0.151
Sc1 Sc 0.000 0.000 0.764
Cd1 Cd 0.500 0.000 0.378
```

=====

[11]
Entry from the Alexandria database: an optimized crystal structure of Er4CdSe3 (PBE).

Formation energy without anion corrections ... -1.293 eV per atom
Raw total energy ... -79.93 eV for the cell shown
DOS(E_F) ... 0.40 states/eV per atom

```
data_Er4CdSe3
_space_group_name_H-M_alt 'C m m m'
_space_group_IT_number 65
_space_group_name_Hall '-C 2 2'
_cell_length_a 8.449
_cell_length_b 11.656
_cell_length_c 3.983
_cell_angle_alpha 90.00
_cell_angle_beta 90.00
_cell_angle_gamma 90.00
loop_
_atom_site_label
_atom_site_type_symbol
_atom_site_fract_x
_atom_site_fract_y
_atom_site_fract_z
Er1 Er 0.000 0.249 0.000
Er2 Er 0.244 0.000 0.500
Cd1 Cd 0.000 0.500 0.000
Se1 Se 0.000 0.000 0.000
Se2 Se 0.250 0.250 0.500
```

=====

[12]
Entry from the Alexandria database: an optimized crystal structure of Er2Tl3CdSe6 (PBE).

Formation energy without anion corrections ... -1.016 eV per atom
Raw total energy ... -100.47 eV for the cell shown
DOS(E_F) ... 0.43 states/eV per atom

```
data_Er2Tl3CdSe6
_space_group_name_H-M_alt 'C 1 2/m 1'
_space_group_IT_number 12
_cell_length_a 7.216
_cell_length_b 12.520
_cell_length_c 7.871
_cell_angle_alpha 90.00
_cell_angle_beta 107.84
_cell_angle_gamma 90.00
loop_
_space_group_symop_operation_xyz
'x,y,z'
'-x,-y,-z'
'-x,y,-z'
'x,-y,z'
'x+1/2,y+1/2,z'
'-x+1/2,-y+1/2,-z'
'-x+1/2,y+1/2,-z'
'x+1/2,-y+1/2,z'
loop_
_atom_site_label
_atom_site_type_symbol
_atom_site_fract_x
_atom_site_fract_y
_atom_site_fract_z
Er1 Er 0.000 0.167 0.000
Tl1 Tl 0.000 0.000 0.500
Tl2 Tl 0.000 0.332 0.500
Cd1 Cd 0.000 0.500 0.000
Se1 Se 0.233 0.000 0.209
Se2 Se 0.239 0.331 0.210
```

=====

[13]
Entry from the Alexandria database: an optimized crystal structure of Er5CdSi2 (PBE).

Formation energy without anion corrections ... -0.526 eV per atom
Raw total energy ... -155.12 eV for the cell shown
DOS(E_F) ... 0.75 states/eV per atom

```
data_Er5CdSi2
_space_group_name_H-M_alt 'I 4/m c m'
_space_group_IT_number 140
_space_group_name_Hall '-I 4 2c'
_cell_length_a 7.549
_cell_length_b 7.549
_cell_length_c 14.077
_cell_angle_alpha 90.00
_cell_angle_beta 90.00
_cell_angle_gamma 90.00
loop_
_atom_site_label
_atom_site_type_symbol
_atom_site_fract_x
_atom_site_fract_y
_atom_site_fract_z
Er1 Er 0.000 0.000 0.000
Er2 Er 0.168 0.332 0.139
Cd1 Cd 0.000 0.000 0.250
Si1 Si 0.129 0.371 0.500
```

=====

[14]
Entry from the Alexandria database: an optimized crystal structure of Er5Cd2Si2 (PBE).

Formation energy without anion corrections ... -0.503 eV per atom
Raw total energy ... -160.08 eV for the cell shown
DOS(E_F) ... 0.63 states/eV per atom

```
data_Er5Cd2Si2
_space_group_name_H-M_alt 'C m c e'
_space_group_IT_number 64
_space_group_name_Hall '-C 2ac 2'
_cell_length_a 16.074
_cell_length_b 7.443
_cell_length_c 7.446
_cell_angle_alpha 90.00
_cell_angle_beta 90.00
_cell_angle_gamma 90.00
loop_
_atom_site_label
_atom_site_type_symbol
_atom_site_fract_x
_atom_site_fract_y
_atom_site_fract_z
Er1 Er 0.000 0.000 0.000
Er2 Er 0.124 0.183 0.321
Cd1 Cd 0.222 0.000 0.000
Si1 Si 0.000 0.119 0.620
```

=====

[15]
Entry from the Alexandria database: an optimized crystal structure of SmErCdSi (PBE).

Formation energy without anion corrections ... -0.377 eV per atom
Raw total energy ... -68.51 eV for the cell shown
DOS(E_F) ... 0.65 states/eV per atom

```
data_SmErCdSi
_space_group_name_H-M_alt 'F -4 3 m'
_space_group_IT_number 216
_space_group_name_Hall 'F -4 2 3'
_cell_length_a 7.258
_cell_length_b 7.258
_cell_length_c 7.258
_cell_angle_alpha 90.00
_cell_angle_beta 90.00
_cell_angle_gamma 90.00
loop_
_atom_site_label
_atom_site_type_symbol
_atom_site_fract_x
_atom_site_fract_y
_atom_site_fract_z
Sm1 Sm 0.000 0.000 0.000
Er1 Er 0.000 0.000 0.500
Cd1 Cd 0.250 0.250 0.250
Si1 Si 0.250 0.250 0.750
```

=====

[16]
Entry from the Alexandria database: an optimized crystal structure of Sm4ErCd (PBE).

Calculated formation energy ... 0.0067 eV per atom
Raw total energy ... -97.26 eV for the cell shown
DOS(E_F) ... 1.33 states/eV per atom
Polymorph energy (0 for the lowest one) ... 99 meV/atom

```
data_Sm4ErCd
_space_group_name_H-M_alt 'C 1 2/c 1'
_space_group_IT_number 15
_cell_length_a 8.841
_cell_length_b 14.345
_cell_length_c 6.364
_cell_angle_alpha 90.00
_cell_angle_beta 109.47
_cell_angle_gamma 90.00
loop_
_space_group_symop_operation_xyz
'x,y,z'
'-x,-y,-z'
'-x,y,-z+1/2'
'x,-y,z+1/2'
'x+1/2,y+1/2,z'
'-x+1/2,-y+1/2,-z'
'-x+1/2,y+1/2,-z+1/2'
'x+1/2,-y+1/2,z+1/2'
loop_
_atom_site_label
_atom_site_type_symbol
_atom_site_fract_x
_atom_site_fract_y
_atom_site_fract_z
Sm1 Sm 0.098 0.191 0.045
Sm2 Sm 0.214 0.380 0.376
Er1 Er 0.000 0.411 0.750
Cd1 Cd 0.000 0.001 0.750
```

=====

[17]
Entry from the Alexandria database: an optimized crystal structure of Sm2ErCd (PBE).

Calculated formation energy ... -0.0337 eV per atom
Raw total energy ... -45.15 eV for the cell shown
DOS(E_F) ... 1.13 states/eV per atom
Polymorph energy (0 for the lowest one) ... 114 meV/atom

```
data_Sm2ErCd
_space_group_name_H-M_alt 'R 3 m'
_space_group_IT_number 160
_space_group_name_Hall 'R 3 -2"'
_cell_length_a 3.5732
_cell_length_b 3.5732
_cell_length_c 33.1863
_cell_angle_alpha 90.00
_cell_angle_beta 90.00
_cell_angle_gamma 120.00
loop_
_atom_site_label
_atom_site_type_symbol
_atom_site_fract_x
_atom_site_fract_y
_atom_site_fract_z
Sm1 Sm 0.0000 0.0000 0.0000
Sm2 Sm 0.0000 0.0000 0.1593
Er1 Er 0.0000 0.0000 0.5792
Cd1 Cd 0.0000 0.0000 0.7463
```

=====

[18]
Entry from the Alexandria database: an optimized crystal structure of Sm2Er3Cd3 (PBE).

Calculated formation energy ... -0.1748 eV per atom
Raw total energy ... -27.27 eV for the cell shown
DOS(E_F) ... 1.23 states/eV per atom
Polymorph energy (0 for the lowest one) ... 50 meV/atom

```
data_Sm2Er3Cd3
_space_group_name_H-M_alt 'P m m m'
_space_group_IT_number 47
_cell_length_a 4.891
_cell_length_b 4.896
_cell_length_c 9.211
_cell_angle_alpha 90.00
_cell_angle_beta 90.00
_cell_angle_gamma 90.00
loop_
_space_group_symop_operation_xyz
'x,y,z'
'-x,-y,-z'
'-x,-y,z'
'x,y,-z'
'x,-y,-z'
'-x,y,z'
'-x,y,-z'
'x,-y,z'
loop_
_atom_site_label
_atom_site_type_symbol
_atom_site_fract_x
_atom_site_fract_y
_atom_site_fract_z
Sm1 Sm 0.000 0.000 0.243
Er1 Er 0.000 0.500 0.500
Er2 Er 0.500 0.500 0.230
Cd1 Cd 0.000 0.500 0.000
Cd2 Cd 0.500 0.000 0.000
Cd3 Cd 0.500 0.000 0.500
```

=====

[19]
Entry from the Alexandria database: an optimized crystal structure of Sm3Er4Cd2 (PBE).

Calculated formation energy ... -0.0719 eV per atom
Raw total energy ... -69.77 eV for the cell shown
DOS(E_F) ... 1.23 states/eV per atom

```
data_Sm3Er4Cd2
_space_group_name_H-M_alt 'C 1 2/m 1'
_space_group_IT_number 12
_cell_length_a 14.707
_cell_length_b 4.880
_cell_length_c 7.776
_cell_angle_alpha 90.00
_cell_angle_beta 108.52
_cell_angle_gamma 90.00
loop_
_space_group_symop_operation_xyz
'x,y,z'
'-x,-y,-z'
'-x,y,-z'
'x,-y,z'
'x+1/2,y+1/2,z'
'-x+1/2,-y+1/2,-z'
'-x+1/2,y+1/2,-z'
'x+1/2,-y+1/2,z'
loop_
_atom_site_label
_atom_site_type_symbol
_atom_site_fract_x
_atom_site_fract_y
_atom_site_fract_z
Sm1 Sm 0.000 0.000 0.000
Sm2 Sm 0.114 0.000 0.668
Er1 Er 0.058 0.500 0.334
Er2 Er 0.222 0.000 0.321
Cd1 Cd 0.166 0.500 0.001
```

=====

[20]
Entry from the Alexandria database: an optimized crystal structure of Sm8ErCd6 (PBE).

Calculated formation energy ... -0.0830 eV per atom
Raw total energy ... -147.16 eV for the cell shown
DOS(E_F) ... 1.27 states/eV per atom

```
data_Sm8ErCd6
_space_group_name_H-M_alt 'R -3'
_space_group_IT_number 148
_space_group_name_Hall '-R 3'
_cell_length_a 9.0878
_cell_length_b 9.0878
_cell_length_c 19.4543
_cell_angle_alpha 90.00
_cell_angle_beta 90.00
_cell_angle_gamma 120.00
loop_
_atom_site_label
_atom_site_type_symbol
_atom_site_fract_x
_atom_site_fract_y
_atom_site_fract_z
Sm1 Sm 0.0000 0.0000 0.1656
Sm2 Sm 0.0013 0.6651 0.3832
Er1 Er 0.0000 0.0000 0.5000
Cd1 Cd 0.0004 0.3284 0.4501
```